The following is a PBE calculation of crystalline Pm4NiCCl2 at its relaxed geometry, from the Alexandria database.

Lattice parameters (Å, degrees): 3.7896 7.0211 7.4108 107.69 90.00 90.00
Last column: nearest neighbours and their distance in Å.
Positions (direct):
Pm 0.5000 0.2428 0.1988  1 C 2.65, 2 Ni 2.67
Pm 0.5000 0.7572 0.8012  1 C 2.65, 2 Ni 2.67
Pm 0.0000 0.2900 0.8011  2 C 2.57, 1 Ni 2.85
Pm 0.0000 0.7100 0.1989  2 C 2.57, 1 Ni 2.85
Ni 0.0000 0.0000 0.0000  6 Pm 2.67-2.85
C 0.5000 0.5000 0.0000  6 Pm 2.57-2.65
Cl 0.5000 0.0000 0.5000  6 Pm 3.15-3.19
Cl 0.0000 0.5000 0.5000  6 Pm 3.03-3.06

Summary:
Formation energy without anion corrections ... -907 meV/atom
Crystal system ... monoclinic
Calculated total energy ... -5.620 eV per atom
SG ... P2/m